(1)
YCo2Br (GGA-PBE, relaxed); energy above the most stable polymorph in this dataset = 410.5 meV/atom; symmetry = No. 44; spin magnetization = 2.15 μB/cell
1.0
-1.800 2.549 4.179
1.800 -2.549 4.179
1.800 2.549 -4.179
Y Co Br
1 2 1
Direct
0.000 0.000 0.000
0.536 0.536 0.000
0.686 0.186 0.500
0.309 0.809 0.500

(2)
CeGdThMg (GGA-PBE, relaxed); symmetry = No. 216; spin magnetization = 9.00 μB/cell; energy of formation = 0.17 eV/atom
1.0
0.000 3.913 3.913
3.913 0.000 3.913
3.913 3.913 0.000
Ce Gd Th Mg
1 1 1 1
Direct
0.000 0.000 0.000
0.500 0.500 0.500
0.750 0.750 0.750
0.250 0.250 0.250

(3)
Sb3Rh (GGA-PBE, relaxed); energy above the most stable polymorph in this dataset = 417.7 meV/atom; symmetry = No. 187; spin magnetization = 0.00 μB/cell
1.0
3.420 0.000 0.000
-1.710 2.961 0.000
0.000 0.000 9.665
Sb Rh
3 1
Direct
0.000 0.000 0.000
0.667 0.333 0.308
0.667 0.333 0.692
0.000 0.000 0.500

(4)
CaAs2Ir (GGA-PBE, relaxed); symmetry = No. 119; spin magnetization = 0.00 μB/cell; energy of formation = -0.14 eV/atom
1.0
-2.021 2.021 4.518
2.021 -2.021 4.518
2.021 2.021 -4.518
Ca As Ir
1 2 1
Direct
0.000 0.000 0.000
0.500 0.500 0.000
0.750 0.250 0.500
0.250 0.750 0.500

| no. | final energy (eV/atom) |
| --- | --- |
| 1 | -5.472 |
| 2 | -7.083 |
| 3 | -4.916 |
| 4 | -5.182 |